The following is a PBE calculation of a geometry-optimized Tb3ZnCd2InGa2 structure, from OQMD.

Calculated values
The total moment comes out at 0.002 μB/f.u. The electronic total energy comes out at -3.363 eV per atom.

a b c (Å): 4.4853 7.2933 7.2933
angles (deg): 121.05 90.00 90.00
Fractional positions:
Tb: 0.0000 0.0000 0.0000
Tb: 0.0000 0.1219 0.5613
Tb: 0.0000 0.5613 0.1219
Zn: 0.5000 0.2968 0.2968
Cd: 0.5000 0.5534 0.8074
Cd: 0.5000 0.8074 0.5534
In: 0.0000 0.5411 0.5411
Ga: 0.5000 0.2256 0.9012
Ga: 0.5000 0.9012 0.2256